A plane-wave DFT calculation with GGA-PBEsol was carried out for an optimized crystal structure of ZrZnTe2.

Cell: 9.251 9.251 9.251 Å, 22.78 22.78 22.78°
Element x y z (fractional)
Zr (0.000, 0.000, 0.000)
Zn (0.500, 0.500, 0.500)
Te (0.103, 0.103, 0.103)
Te (0.897, 0.897, 0.897)

Values from the calculation:
E_tot in eV for the cell shown: -17.05
SG: R-3m (166)
Total moment in μB per atom: 0.0005
Formation energy without anion corrections in eV per atom: 0.169